1.
Material: Li3Ac2MgBi4
Method: DFT, PBE-GGA
State: optimized geometry

It has space group P-4m2 (No. 115), with a = 5.059 Å, b = 5.059 Å, c = 11.072 Å, α = 90.00°, β = 90.00° and γ = 90.00°. The asymmetric unit holds Li at (0.000, 0.000, 0.000), Li at (0.000, 0.500, 0.612), Ac at (0.000, 0.500, 0.269), Mg at (0.500, 0.500, 0.000), Bi at (0.000, 0.000, 0.500), Bi at (0.000, 0.500, 0.858) and Bi at (0.500, 0.500, 0.500).

The calculation puts the formation energy from the elements at -5.854 eV/f.u.

***

2.
Material: Mg2TcAuN
Method: DFT, PBE-GGA
State: optimized geometry

It has space group P4/mmm (No. 123), with a = 4.328 Å, b = 4.328 Å, c = 3.921 Å, α = 90.00°, β = 90.00° and γ = 90.00°. The asymmetric unit holds Mg at (0.000, 0.500, 0.000), Tc at (0.000, 0.000, 0.500), Au at (0.500, 0.500, 0.500) and N at (0.000, 0.000, 0.000).

***

3.
Material: SiNiPH
Method: DFT, PBE-GGA
State: optimized geometry

It has space group P1 (No. 1), with a = 3.359 Å, b = 3.748 Å, c = 4.103 Å, α = 81.14°, β = 83.42° and γ = 69.07°. The asymmetric unit holds Si at (0.000, 0.000, 0.000), Ni at (0.118, 0.489, 0.626), P at (0.470, 0.945, 0.392) and H at (0.224, 0.544, 0.971).

As for the energy above the most stable polymorph in this dataset: 164.4 meV/atom.

***

| no. | M_tot (μB/f.u.) | electronic total energy (Ry per atom) |
| --- | --- | --- |
| 1 | 0.00 | -0.271 |
| 2 | 0.00 | -0.395 |
| 3 | 0.00 | -0.365 |